1.
TaNbVMo | Alexandria via LeMat-Bulk | GGA-PBE | optimized geometry; space-group type = Imm2 (44); total magnetic moment = 0.000 μB per cell; crystal system = orthorhombic
1.0
3.1900 0.0000 0.0000
0.0000 4.5307 0.0000
-1.5950 -2.2654 4.5611
V Mo Nb Ta
1 1 1 1
direct
0.7189 0.7189 0.4378
0.4535 0.9535 0.9071
0.1989 0.1989 0.3979
0.9607 0.4607 0.9215

---

2.
TaNbVMo | Alexandria via LeMat-Bulk | GGA-PBE | optimized geometry; space-group type = F-43m (216); total magnetic moment = 0.001 μB per cell; crystal system = cubic
1.0
-1.5220 -3.1701 2.8638
1.7722 -4.1736 -0.0872
2.6257 -1.4204 3.4140
Ta Nb V Mo
1 1 1 1
direct
0.0000 0.0000 0.0000
0.5000 0.5000 0.5000
0.2500 0.2500 0.2500
0.7500 0.7500 0.7500

---

Question: of the structures shown, which is the least stable? Reply: 2.